Entry 1:
{"formula": "Os3Cl", "functional": "PBE", "state": "optimized geometry", "cell": [[1.401, 0.809, 8.720], [-1.401, 0.809, 8.720], [0.000, -1.617, 8.720]], "species": ["Os", "Os", "Os", "Cl"], "frac_coords": [[0.000, 0.000, 0.000], [0.252, 0.252, 0.252], [0.748, 0.748, 0.748], [0.500, 0.500, 0.500]], "total_magnetization_mub_per_cell": 0.0, "space_group": "R-3m, No. 166", "e_tot_ev_per_atom": -8.2686, "e_form_raw_mev_per_atom": 615}

---

Entry 2:
{"formula": "CeInAgSn", "functional": "PBE", "state": "optimized geometry", "cell": [[4.522, 0.000, 0.000], [0.000, 4.542, 0.000], [0.000, 0.000, 4.852]], "species": ["Ce", "In", "Ag", "Sn"], "frac_coords": [[0.000, 0.000, 0.000], [0.000, 0.500, 0.500], [0.500, 0.000, 0.500], [0.500, 0.500, 0.000]], "total_magnetization_mub_per_cell": 0.9, "space_group": "Pmmm, No. 47", "e_tot_ev_per_atom": -4.2363, "ef_ev_per_atom": -0.355}

---

Entry 3:
{"formula": "As2PtWSe", "functional": "PBE", "state": "optimized geometry", "cell": [[4.757, 0.000, 0.000], [0.000, 4.757, 0.000], [0.000, 0.000, 4.889]], "species": ["As", "As", "Pt", "W", "Se"], "frac_coords": [[0.000, 0.500, 0.000], [0.500, 0.000, 0.000], [0.000, 0.000, 0.000], [0.500, 0.500, 0.500], [0.000, 0.000, 0.500]], "total_magnetization_mub_per_cell": 0.0, "space_group": "P4/mmm, No. 123", "e_tot_ev_per_atom": -4.9682, "e_form_raw_mev_per_atom": 1387}

---

Entry 4:
{"formula": "Nd5Er3Tl2", "functional": "PBE", "state": "optimized geometry", "cell": [[-6.676, 7.746, 3.279], [6.676, -7.746, 3.279], [6.676, 7.746, -3.279]], "species": ["Nd", "Nd", "Nd", "Nd", "Nd", "Nd", "Nd", "Nd", "Nd", "Nd", "Er", "Er", "Er", "Er", "Er", "Er", "Tl", "Tl", "Tl", "Tl"], "frac_coords": [[0.168, 0.113, 0.281], [0.250, 0.000, 0.750], [0.250, 0.250, 0.000], [0.250, 0.500, 0.250], [0.332, 0.613, 0.945], [0.668, 0.387, 0.055], [0.750, 0.000, 0.250], [0.750, 0.500, 0.750], [0.750, 0.750, 0.000], [0.832, 0.887, 0.719], [0.211, 0.386, 0.597], [0.250, 0.750, 0.500], [0.289, 0.886, 0.176], [0.711, 0.114, 0.824], [0.750, 0.250, 0.500], [0.789, 0.614, 0.403], [0.140, 0.622, 0.763], [0.360, 0.122, 0.482], [0.640, 0.878, 0.518], [0.860, 0.378, 0.237]], "total_magnetization_mub_per_cell": 0.0, "space_group": "Ibam, No. 72", "e_tot_ev_per_atom": -4.0541, "ef_ev_per_atom": 0.172}